VASP calculation (PBE-GGA) on a relaxed structure of PrPu2O11.

Results
* symmetry: No. 46
* E_tot: -229.1 eV for the cell shown
* ΔE_f (raw): -183 kJ/mol of atoms

abc: 8.5992 8.5992 8.5992
angles: 101.65 106.40 121.04
Element x y z (fractional)
Pr  0.0000  0.0000  0.0000
Pr  0.0000  0.5000  0.5000
Pu  0.0263  0.5136  0.0127
Pu  0.4919  0.4638  0.5282
Pu  0.5009  0.0136  0.9873
Pu  0.9356  0.9638  0.4718
O  0.0785  0.3235  0.0121
O  0.0785  0.5663  0.2549
O  0.2950  0.2417  0.3098
O  0.2950  0.4852  0.5533
O  0.3020  0.1302  0.6718
O  0.3114  0.0663  0.9879
O  0.3114  0.8235  0.7451
O  0.3360  0.7692  0.0668
O  0.4584  0.6302  0.3282
O  0.4824  0.2726  0.7098
O  0.5628  0.7726  0.2902
O  0.6853  0.2022  0.2271
O  0.6853  0.9582  0.9831
O  0.6858  0.4374  0.5058
O  0.6858  0.6799  0.7484
O  0.7024  0.2692  0.9332
O  0.9316  0.1799  0.4942
O  0.9319  0.7417  0.4467
O  0.9316  0.9374  0.2516
O  0.9319  0.9852  0.6902
O  0.9751  0.4582  0.7729
O  0.9751  0.7022  0.0169

---

VASP calculation (PBE-GGA) on a relaxed structure of Dy2PaTcC4.

Results
* energy of formation from the pure elements: -44 meV per atom
* symmetry: No. 63
* E_tot: -132.6 eV for the cell shown

abc: 6.1571 6.1571 12.1445
angles: 90.00 90.00 147.45
Element x y z (fractional)
Dy  0.1308  0.8692  0.5414
Dy  0.1308  0.8692  0.9586
Dy  0.8692  0.1308  0.0414
Dy  0.8692  0.1308  0.4586
Pa  0.4065  0.5935  0.7500
Pa  0.5935  0.4065  0.2500
Tc  0.3344  0.6656  0.2500
Tc  0.6656  0.3344  0.7500
C  0.0613  0.9387  0.7500
C  0.2267  0.7733  0.1349
C  0.2267  0.7733  0.3651
C  0.5000  0.5000  0.0000
C  0.5000  0.5000  0.5000
C  0.7733  0.2267  0.6349
C  0.7733  0.2267  0.8651
C  0.9387  0.0613  0.2500

---

VASP calculation (PBE-GGA) on a relaxed structure of NaGa2TeO6.

Results
* symmetry: No. 15
* E_tot: -110.3 eV for the cell shown
* ΔE_f (raw): -144 kJ/mol of atoms

abc: 6.9280 6.9280 5.4777
angles: 96.44 96.44 88.61
Element x y z (fractional)
Na  0.0818  0.9182  0.7500
Na  0.9182  0.0818  0.2500
Ga  0.2101  0.3993  0.7215
Ga  0.3993  0.2101  0.2215
Ga  0.6007  0.7899  0.7785
Ga  0.7899  0.6007  0.2785
Te  0.2725  0.7275  0.2500
Te  0.7275  0.2725  0.7500
O  0.0075  0.7611  0.3507
O  0.1556  0.6263  0.9097
O  0.2389  0.9925  0.1493
O  0.2790  0.4218  0.4002
O  0.3737  0.8444  0.5903
O  0.4218  0.2790  0.9002
O  0.5782  0.7210  0.0998
O  0.6263  0.1556  0.4097
O  0.7210  0.5782  0.5998
O  0.7611  0.0075  0.8507
O  0.8444  0.3737  0.0903
O  0.9925  0.2389  0.6493

---

VASP calculation (PBE-GGA) on a relaxed structure of Ba2LiCaPd.

Results
* energy of formation from the pure elements: -215 meV per atom
* symmetry: No. 123
* offset from the most stable computed form: 0.0 meV/atom
* E_tot: -14.0 eV for the cell shown

abc: 6.2675 6.2675 5.7015
angles: 90.00 90.00 90.00
Element x y z (fractional)
Ba  0.0000  0.5000  0.0000
Ba  0.5000  0.0000  0.0000
Li  0.0000  0.0000  0.5000
Ca  0.5000  0.5000  0.5000
Pd  0.5000  0.5000  0.0000

---

VASP calculation (PBE-GGA) on a relaxed structure of YPuSbTe.

Results
* symmetry: No. 160
* E_tot: -32.5 eV for the cell shown
* ΔE_f (raw): -106 kJ/mol of atoms

abc: 7.6402 7.6402 7.6402
angles: 33.62 33.62 33.62
Element x y z (fractional)
Y  0.0000  0.0000  0.0000
Pu  0.4958  0.4958  0.4958
Sb  0.7462  0.7462  0.7462
Te  0.2485  0.2485  0.2485

---

VASP calculation (PBE-GGA) on a relaxed structure of PmPrS2.

Results
* symmetry: No. 194
* offset from the most stable computed form: 22.8 meV/atom
* E_tot: -51.6 eV for the cell shown
* ΔE_f (raw): -194 kJ/mol of atoms

abc: 4.0180 4.0180 13.6795
angles: 90.00 90.00 120.00
Element x y z (fractional)
Pm  0.3333  0.6667  0.2500
Pm  0.6667  0.3333  0.7500
Pr  0.0000  0.0000  0.0000
Pr  0.0000  0.0000  0.5000
S  0.3333  0.6667  0.6258
S  0.3333  0.6667  0.8742
S  0.6667  0.3333  0.1258
S  0.6667  0.3333  0.3742

---

VASP calculation (PBE-GGA) on a relaxed structure of Ga2H2Cl.

Results
* symmetry: No. 139
* offset from the most stable computed form: 0.0 meV/atom
* E_tot: -14.3 eV for the cell shown

abc: 5.4653 5.4653 5.4653
angles: 135.81 135.81 64.27
Element x y z (fractional)
Ga  0.2500  0.7500  0.5000
Ga  0.7500  0.2500  0.5000
H  0.1963  0.1963  0.0000
H  0.8037  0.8037  0.0000
Cl  0.5000  0.5000  0.0000

---

VASP calculation (PBE-GGA) on a relaxed structure of Pm2FeBPt6.

Results
* energy of formation from the pure elements: -754 meV per atom
* symmetry: No. 166
* E_tot: -68.4 eV for the cell shown

abc: 7.2854 7.2854 7.2854
angles: 46.02 46.02 46.02
Element x y z (fractional)
Pm  0.2105  0.2105  0.2105
Pm  0.7895  0.7895  0.7895
Fe  0.5000  0.5000  0.5000
B  0.0000  0.0000  0.0000
Pt  0.2365  0.2365  0.7242
Pt  0.2365  0.7242  0.2365
Pt  0.2758  0.7635  0.7635
Pt  0.7242  0.2365  0.2365
Pt  0.7635  0.2758  0.7635
Pt  0.7635  0.7635  0.2758

---

Question: Among the records above, which one has the highest E_tot?
Answer: Ba2LiCaPd

---

Question: Among the records above, which one has the lowest E_tot?
Answer: PrPu2O11

---

Question: What is the formula in the sixth record?
Answer: PmPrS2